# 1
# SrLi4Cu2

A relaxed SrLi4Cu2 crystal (PBE, Alexandria).

Cell and atoms, written as POSCAR:
```
SrLi4Cu2
1.0
4.202 0.000 0.000
0.000 4.060 -1.206
0.000 0.270 8.345
Sr Li Cu
1 4 2
direct
0.000 0.000 0.000
0.500 0.183 0.367
0.000 0.680 0.359
0.000 0.320 0.641
0.500 0.817 0.633
0.500 0.577 0.154
0.500 0.423 0.846
```

Symmetry   Cmmm (65)
Formation energy   -0.02 eV per atom
Calculated total energy   -2.526 eV/atom
Magnetic moment   0.00 μB per atom
N(E_F)   2.21 states/eV/cell
Density   2.8 g cm⁻³

=====

# 2
# Sr5LiCu2

A relaxed Sr5LiCu2 crystal (PBE, Alexandria).

Cell and atoms, written as POSCAR:
```
Sr5LiCu2
1.0
7.632 0.000 -3.603
-1.701 7.440 -3.603
0.108 0.135 10.113
Li Sr Cu
2 10 4
direct
0.750 0.750 0.500
0.250 0.250 0.500
0.968 0.468 0.273
0.032 0.532 0.727
0.532 0.695 0.727
0.195 0.032 0.727
0.805 0.968 0.273
0.305 0.805 0.273
0.468 0.305 0.273
0.500 0.500 0.000
0.000 0.000 0.000
0.695 0.195 0.727
0.608 0.108 0.000
0.892 0.608 0.000
0.392 0.892 0.000
0.108 0.392 0.000
```

Symmetry   I4/mcm (140)
Formation energy   -0.04 eV per atom
Calculated total energy   -2.351 eV/atom
Magnetic moment   0.00 μB per atom
N(E_F)   12.56 states/eV/cell
Density   3.3 g cm⁻³

=====

# 3
# Sr4Li2Cu

A relaxed Sr4Li2Cu crystal (PBE, Alexandria).

Cell and atoms, written as POSCAR:
```
Sr4Li2Cu
1.0
5.845 0.000 0.000
0.000 5.845 0.000
2.923 2.923 8.890
Sr Cu Li
4 1 2
direct
0.000 0.500 0.000
0.177 0.177 0.646
0.500 0.000 0.000
0.823 0.823 0.354
0.000 0.000 0.000
0.378 0.378 0.244
0.622 0.622 0.756
```

Symmetry   I4/mmm (139)
Formation energy   0.11 eV per atom
Calculated total energy   -1.987 eV/atom
Magnetic moment   0.00 μB per atom
N(E_F)   6.24 states/eV/cell
Density   2.3 g cm⁻³

=====

# 4
# Sr2LiCu3

A relaxed Sr2LiCu3 crystal (PBE, Alexandria).

Cell and atoms, written as POSCAR:
```
Sr2LiCu3
1.0
4.328 0.000 0.000
0.000 7.230 0.000
0.000 0.000 18.969
Sr Cu Li
8 12 4
direct
0.750 0.834 0.300
0.250 0.147 0.920
0.250 0.166 0.700
0.750 0.353 0.420
0.750 0.334 0.200
0.250 0.666 0.800
0.250 0.647 0.580
0.750 0.853 0.080
0.750 0.495 0.696
0.250 0.005 0.196
0.750 0.333 0.812
0.250 0.167 0.312
0.250 0.720 0.966
0.250 0.505 0.304
0.250 0.220 0.534
0.750 0.780 0.466
0.750 0.280 0.034
0.250 0.667 0.188
0.750 0.995 0.804
0.750 0.833 0.688
0.250 0.962 0.438
0.750 0.538 0.938
0.250 0.462 0.062
0.750 0.038 0.562
```

Symmetry   Pnma (62)
Formation energy   0.02 eV per atom
Calculated total energy   -2.907 eV/atom
Magnetic moment   0.00 μB per atom
N(E_F)   11.47 states/eV/cell
Density   4.2 g cm⁻³

=====

# 5
# Sr8LiCu2

A relaxed Sr8LiCu2 crystal (PBE, Alexandria).

Cell and atoms, written as POSCAR:
```
Sr8LiCu2
1.0
6.325 0.191 -0.978
-1.992 8.074 -3.315
0.150 -0.017 8.952
Sr Li Cu
8 1 2
direct
0.588 0.071 0.336
0.588 0.336 0.071
0.201 0.386 0.386
0.412 0.935 0.670
0.000 0.248 0.759
0.799 0.620 0.620
0.412 0.670 0.935
0.000 0.759 0.248
0.002 0.003 0.003
0.499 0.692 0.314
0.499 0.314 0.692
```

Symmetry   Cm (8)
Formation energy   0.04 eV per atom
Calculated total energy   -2.106 eV/atom
Magnetic moment   0.00 μB per atom
N(E_F)   9.67 states/eV/cell
Density   3.0 g cm⁻³

=====

# 6
# SrLi2Cu

A relaxed SrLi2Cu crystal (PBE, Alexandria).

Cell and atoms, written as POSCAR:
```
SrLi2Cu
1.0
3.705 0.000 0.000
0.000 3.710 0.000
0.000 0.000 6.962
Sr Li Cu
1 2 1
direct
0.000 0.000 0.540
0.500 0.500 0.172
0.000 0.000 0.984
0.500 0.500 0.805
```

Symmetry   P4mm (99)
Formation energy   0.06 eV per atom
Calculated total energy   -2.337 eV/atom
Magnetic moment   0.00 μB per atom
ΔE to the lowest computed polymorph   64.3 meV per atom
N(E_F)   2.95 states/eV/cell
Density   2.9 g cm⁻³

=====

# 7
# Sr6LiCu2

A relaxed Sr6LiCu2 crystal (PBE, Alexandria).

Cell and atoms, written as POSCAR:
```
Sr6LiCu2
1.0
9.085 -0.130 -3.283
-4.894 7.900 -2.642
-0.071 0.130 9.660
Cu Li Sr
4 2 12
direct
0.500 0.392 0.892
0.675 0.000 0.675
0.325 0.000 0.325
0.500 0.608 0.108
0.000 0.000 0.000
0.000 0.500 0.500
0.317 0.987 0.670
0.195 0.761 0.955
0.805 0.239 0.045
0.893 0.712 0.181
0.683 0.013 0.330
0.468 0.288 0.181
0.195 0.239 0.434
0.805 0.761 0.566
0.532 0.712 0.819
0.107 0.288 0.819
0.683 0.353 0.670
0.317 0.647 0.330
```

Symmetry   Immm (71)
Formation energy   -0.02 eV per atom
Calculated total energy   -2.269 eV/atom
Magnetic moment   0.00 μB per atom
N(E_F)   12.70 states/eV/cell
Density   3.2 g cm⁻³

=====

# 8
# SrLi4Cu4

A relaxed SrLi4Cu4 crystal (PBE, Alexandria).

Cell and atoms, written as POSCAR:
```
SrLi4Cu4
1.0
-3.717 1.585 -1.804
-4.553 -3.999 5.870
0.472 6.786 4.990
Li Cu Sr
8 8 2
direct
0.500 0.880 0.585
0.000 0.085 0.620
0.000 0.915 0.380
0.500 0.120 0.415
0.500 0.585 0.120
0.000 0.380 0.085
0.000 0.620 0.915
0.500 0.415 0.880
0.000 0.765 0.671
0.500 0.735 0.829
0.500 0.265 0.171
0.000 0.235 0.329
0.000 0.671 0.235
0.500 0.829 0.265
0.500 0.171 0.735
0.000 0.329 0.765
0.000 0.000 0.000
0.500 0.500 0.500
```

Symmetry   I4/m (87)
Formation energy   0.07 eV per atom
Calculated total energy   -2.791 eV/atom
Magnetic moment   0.00 μB per atom
N(E_F)   7.11 states/eV/cell
Density   3.9 g cm⁻³

=====

# 9
# SrLi2Cu

A relaxed SrLi2Cu crystal (PBE, Alexandria).

Cell and atoms, written as POSCAR:
```
SrLi2Cu
1.0
-1.043 5.861 -1.112
-5.770 1.731 -0.614
4.049 -2.576 3.693
Sr Cu Li
1 1 2
direct
0.750 0.250 0.500
0.250 0.750 0.500
0.452 0.452 0.000
0.048 0.048 0.000
```

Symmetry   Immm (71)
Formation energy   0.06 eV per atom
Calculated total energy   -2.339 eV/atom
Magnetic moment   0.00 μB per atom
ΔE to the lowest computed polymorph   61.8 meV per atom
N(E_F)   1.96 states/eV/cell
Density   2.8 g cm⁻³

=====

# 10
# SrLi3Cu8

A relaxed SrLi3Cu8 crystal (PBE, Alexandria).

Cell and atoms, written as POSCAR:
```
SrLi3Cu8
1.0
-2.923 0.581 -4.035
3.068 -3.955 0.325
-6.133 -4.445 3.803
Li Sr Cu
3 1 8
direct
0.667 0.333 0.386
0.667 0.333 0.051
0.000 0.000 0.966
0.000 0.000 0.568
0.667 0.833 0.241
0.501 0.499 0.769
0.333 0.667 0.495
0.167 0.333 0.241
0.501 0.003 0.769
0.997 0.499 0.769
0.333 0.667 0.003
0.167 0.833 0.241
```

Symmetry   P3m1 (156)
Formation energy   -0.04 eV per atom
Calculated total energy   -3.391 eV/atom
Magnetic moment   0.00 μB per atom
ΔE to the lowest computed polymorph   3.5 meV per atom
N(E_F)   2.87 states/eV/cell
Density   5.5 g cm⁻³

=====

# 11
# SrLiCu10

A relaxed SrLiCu10 crystal (PBE, Alexandria).

Cell and atoms, written as POSCAR:
```
SrLiCu10
1.0
4.110 0.000 0.000
0.000 4.975 0.000
0.000 0.000 8.825
Li Cu Sr
1 10 1
direct
0.000 0.500 0.500
0.000 0.000 0.348
0.500 0.000 0.500
0.500 0.251 0.258
0.500 0.251 0.742
0.000 0.500 0.195
0.500 0.500 0.000
0.500 0.749 0.742
0.000 0.500 0.805
0.500 0.749 0.258
0.000 0.000 0.652
0.000 0.000 0.000
```

Symmetry   Pmmm (47)
Formation energy   -0.03 eV per atom
Calculated total energy   -3.740 eV/atom
Magnetic moment   0.00 μB per atom
N(E_F)   3.90 states/eV/cell
Density   6.7 g cm⁻³

=====

# 12
# SrLiTl2Cu

A relaxed SrLiTl2Cu crystal (PBE, Alexandria).

Cell and atoms, written as POSCAR:
```
SrLiTl2Cu
1.0
-0.097 3.973 3.378
-4.812 1.233 -1.589
-1.918 -3.004 3.478
Li Sr Tl Cu
1 1 2 1
direct
0.000 0.000 0.500
0.500 0.500 0.500
0.500 0.000 0.000
0.000 0.500 0.000
0.000 0.000 0.000
```

Symmetry   P4/mmm (123)
Formation energy   -0.07 eV per atom
Calculated total energy   -2.554 eV/atom
Magnetic moment   0.00 μB per atom
N(E_F)   3.27 states/eV/cell
Density   6.9 g cm⁻³